TlNiAu | PBE | optimized geometry

abc: 5.9007 5.9012 3.1349
angles: 74.59 74.59 30.81
Element x y z (fractional)
Tl 0.6830 0.6828 0.3170
Ni 0.3376 0.3380 0.6624
Au 0.9793 0.9792 0.0207

Summary:
Energy relative to the elements, meV per atom: 243
ΔE to the lowest computed polymorph, meV per atom: 68
Density of states at the Fermi level, states/eV/cell: 2.80
Size of the total moment, μB per formula unit: 0.0

=====

Tl2NiAu | PBE | optimized geometry

abc: 6.6372 6.6372 6.6372
angles: 37.34 37.34 37.34
Element x y z (fractional)
Ni 0.7683 0.7683 0.7683
Au 0.4713 0.4713 0.4713
Tl 0.0278 0.0278 0.0278
Tl 0.2325 0.2325 0.2325

Summary:
Energy relative to the elements, meV per atom: 190
ΔE to the lowest computed polymorph, meV per atom: 55
Density of states at the Fermi level, states/eV/cell: 2.34
Size of the total moment, μB per formula unit: 0.0